[1]
## Zr2InAu (PBE)

Data for Zr2InAu after structural relaxation.

Structure (CIF):
```
data_Zr2InAu
_symmetry_space_group_name_H-M 'P 1'
_symmetry_Int_Tables_number 1
_symmetry_space_group_name_Hall 'P 1'
_cell_length_a 4.9620
_cell_length_b 4.9620
_cell_length_c 4.9620
_cell_angle_alpha 60.00
_cell_angle_beta 60.00
_cell_angle_gamma 60.00
loop_
_atom_site_label
_atom_site_fract_x
_atom_site_fract_y
_atom_site_fract_z
Au1 0.5000 0.5000 0.5000
In1 0.7500 0.7500 0.7500
Zr1 0.0000 0.0000 0.0000
Zr2 0.2500 0.2500 0.2500
```

[2]
## Zr2InAu (PBE)

Data for Zr2InAu after structural relaxation.

Structure (CIF):
```
data_Zr2InAu
_symmetry_space_group_name_H-M 'P 1'
_symmetry_Int_Tables_number 1
_symmetry_space_group_name_Hall 'P 1'
_cell_length_a 7.8888
_cell_length_b 7.8888
_cell_length_c 6.3130
_cell_angle_alpha 51.33
_cell_angle_beta 51.33
_cell_angle_gamma 90.00
loop_
_atom_site_label
_atom_site_fract_x
_atom_site_fract_y
_atom_site_fract_z
Au1 0.0000 0.0000 0.0000
Au2 0.7500 0.2500 0.5000
Zr1 0.6471 0.1250 0.2500
Zr2 0.1029 0.6250 0.2500
Zr3 0.3750 0.3529 0.7500
Zr4 0.8750 0.8971 0.7500
In1 0.5000 0.5000 0.0000
In2 0.2500 0.7500 0.5000
```

[3]
## ZrIn2Au2 (PBE)

Data for ZrIn2Au2 after structural relaxation.

Output
The calculation puts the distance to the lowest polymorph of the same formula at 0 meV per atom.

Structure (CIF):
```
data_ZrIn2Au2
_symmetry_space_group_name_H-M 'P 1'
_symmetry_Int_Tables_number 1
_symmetry_space_group_name_Hall 'P 1'
_cell_length_a 7.7005
_cell_length_b 7.7005
_cell_length_c 3.6186
_cell_angle_alpha 90.00
_cell_angle_beta 90.00
_cell_angle_gamma 90.00
loop_
_atom_site_label
_atom_site_fract_x
_atom_site_fract_y
_atom_site_fract_z
Au1 0.3707 0.8707 0.0000
Au2 0.8707 0.6293 0.0000
Au3 0.6293 0.1293 0.0000
Au4 0.1293 0.3707 0.0000
Zr1 0.0000 0.0000 0.0000
Zr2 0.5000 0.5000 0.0000
In1 0.1744 0.6744 0.5000
In2 0.6744 0.8256 0.5000
In3 0.8256 0.3256 0.5000
In4 0.3256 0.1744 0.5000
```

[4]
## ZrInAu2 (PBE)

Data for ZrInAu2 after structural relaxation.

Structure (CIF):
```
data_ZrInAu2
_symmetry_space_group_name_H-M 'P 1'
_symmetry_Int_Tables_number 1
_symmetry_space_group_name_Hall 'P 1'
_cell_length_a 4.4587
_cell_length_b 4.4587
_cell_length_c 4.0521
_cell_angle_alpha 90.00
_cell_angle_beta 90.00
_cell_angle_gamma 89.99
loop_
_atom_site_label
_atom_site_fract_x
_atom_site_fract_y
_atom_site_fract_z
Au1 0.0000 0.0000 0.0000
Au2 0.5000 0.5000 0.0000
In1 0.5000 0.0000 0.5000
Zr1 0.0000 0.5000 0.5000
```

[5]
## Zr2InAu (PBE)

Data for Zr2InAu after structural relaxation.

Structure (CIF):
```
data_Zr2InAu
_symmetry_space_group_name_H-M 'P 1'
_symmetry_Int_Tables_number 1
_symmetry_space_group_name_Hall 'P 1'
_cell_length_a 5.2491
_cell_length_b 5.2491
_cell_length_c 3.2397
_cell_angle_alpha 90.01
_cell_angle_beta 90.01
_cell_angle_gamma 110.10
loop_
_atom_site_label
_atom_site_fract_x
_atom_site_fract_y
_atom_site_fract_z
Au1 0.5000 0.0000 0.5000
Zr1 0.0000 0.0000 0.0000
Zr2 0.5000 0.5000 0.0000
In1 0.0000 0.5000 0.5000
```

[6]
## Zr4InAu (PBE)

Data for Zr4InAu after structural relaxation.

Output
The calculation puts the distance to the lowest polymorph of the same formula at 0 meV per atom.

Structure (CIF):
```
data_Zr4InAu
_symmetry_space_group_name_H-M 'P 1'
_symmetry_Int_Tables_number 1
_symmetry_space_group_name_Hall 'P 1'
_cell_length_a 5.6481
_cell_length_b 7.6012
_cell_length_c 7.4676
_cell_angle_alpha 65.86
_cell_angle_beta 112.22
_cell_angle_gamma 90.00
loop_
_atom_site_label
_atom_site_fract_x
_atom_site_fract_y
_atom_site_fract_z
Zr1 0.3420 0.9120 0.3451
Zr2 0.0030 0.4120 0.3451
Zr3 0.7182 0.8360 0.1679
Zr4 0.4497 0.3360 0.1679
Zr5 0.2818 0.1640 0.8321
Zr6 0.5503 0.6640 0.8321
Zr7 0.6580 0.0880 0.6549
Zr8 0.9970 0.5880 0.6549
In1 0.1399 0.7500 0.0000
In2 0.8601 0.2500 0.0000
Au1 0.5000 0.5000 0.5000
Au2 0.0000 0.0000 0.5000
```

[7]
## ZrInAu (PBE)

Data for ZrInAu after structural relaxation.

Structure (CIF):
```
data_ZrInAu
_symmetry_space_group_name_H-M 'P 1'
_symmetry_Int_Tables_number 1
_symmetry_space_group_name_Hall 'P 1'
_cell_length_a 7.4443
_cell_length_b 5.6351
_cell_length_c 3.1520
_cell_angle_alpha 90.02
_cell_angle_beta 89.99
_cell_angle_gamma 105.09
loop_
_atom_site_label
_atom_site_fract_x
_atom_site_fract_y
_atom_site_fract_z
Au1 0.4322 0.2311 0.4966
Au2 0.8019 0.1160 0.4967
Zr1 0.1006 0.9680 0.9963
Zr2 0.4857 0.8014 0.9964
In1 0.1477 0.4950 0.4964
In2 0.7734 0.6012 0.4958
```

[8]
## ZrInAu (PBE)

Data for ZrInAu after structural relaxation.

Structure (CIF):
```
data_ZrInAu
_symmetry_space_group_name_H-M 'P 1'
_symmetry_Int_Tables_number 1
_symmetry_space_group_name_Hall 'P 1'
_cell_length_a 3.3026
_cell_length_b 6.7425
_cell_length_c 6.0614
_cell_angle_alpha 105.31
_cell_angle_beta 90.06
_cell_angle_gamma 75.73
loop_
_atom_site_label
_atom_site_fract_x
_atom_site_fract_y
_atom_site_fract_z
Au1 0.9621 0.2238 0.1823
Au2 0.2790 0.5941 0.0033
Zr1 0.6155 0.9177 0.3424
Zr2 0.6256 0.9002 0.8431
In1 0.2940 0.5629 0.4770
In2 0.9470 0.2550 0.7087
```

| no. | total DFT energy (no corrections) (eV per atom) | total magnetic moment (μB/f.u.) |
| --- | --- | --- |
| 1 | -5.783 | 2.8 |
| 2 | -5.834 | 0.0 |
| 3 | -4.309 | 0.0 |
| 4 | -4.810 | 0.0 |
| 5 | -6.167 | 0.0 |
| 6 | -6.863 | 0.0 |
| 7 | -5.188 | 0.0 |
| 8 | -5.201 | 0.0 |